# LiSnF2, optimized geometry, DFT PBEsol
data_LiSnF2
_chemical_formula_sum 'Li3 Sn3 F6'
_space_group_name_H-M_alt 'R -3 m'
_space_group_IT_number 166
_space_group_name_Hall '-R 3 2"'
_cell_length_a 3.1230
_cell_length_b 3.1230
_cell_length_c 19.5483
_cell_angle_alpha 90.00
_cell_angle_beta 90.00
_cell_angle_gamma 120.00
loop_
_atom_site_label
_atom_site_type_symbol
_atom_site_fract_x
_atom_site_fract_y
_atom_site_fract_z
Li1 Li 0.0000 0.0000 0.0000
Sn1 Sn 0.0000 0.0000 0.5000
F1 F 0.0000 0.0000 0.3867
# Energy relative to the lowest polymorph listed for this composition: 0.000 eV per atom
# Final energy: -4.7677 eV/atom
# ΔE_f (raw): -2248 meV per atom

=====

# Mo2AsW, optimized geometry, DFT PBEsol
data_Mo2AsW
_chemical_formula_sum 'Mo2 As1 W1'
_space_group_name_H-M_alt 'P m m 2'
_space_group_IT_number 25
_space_group_name_Hall 'P 2 -2'
_cell_length_a 2.9245
_cell_length_b 4.1444
_cell_length_c 5.0643
_cell_angle_alpha 90.00
_cell_angle_beta 90.00
_cell_angle_gamma 90.00
loop_
_atom_site_label
_atom_site_type_symbol
_atom_site_fract_x
_atom_site_fract_y
_atom_site_fract_z
Mo1 Mo 0.0000 0.0000 0.0000
Mo2 Mo 0.5000 0.5000 0.2577
As1 As 0.5000 0.5000 0.7578
W1 W 0.0000 0.0000 0.4997
# Energy of formation: 0.18 eV per atom
# Final energy: -10.4357 eV/atom

=====

# SrNdCo2O6, optimized geometry, DFT PBEsol
data_SrNdCo2O6
_chemical_formula_sum 'Sr2 Nd2 Co4 O12'
_space_group_name_H-M_alt 'I m m 2'
_space_group_IT_number 44
_space_group_name_Hall 'I 2 -2'
_cell_length_a 5.2986
_cell_length_b 7.4835
_cell_length_c 5.3849
_cell_angle_alpha 90.00
_cell_angle_beta 90.00
_cell_angle_gamma 90.00
loop_
_atom_site_label
_atom_site_type_symbol
_atom_site_fract_x
_atom_site_fract_y
_atom_site_fract_z
Sr1 Sr 0.0000 0.0000 0.0000
Nd1 Nd 0.0000 0.5000 0.0069
Co1 Co 0.0000 0.2497 0.5000
O1 O 0.0000 0.0000 0.4540
O2 O 0.0000 0.5000 0.5676
O3 O 0.2429 0.2806 0.2426
# Final energy: -7.4086 eV/atom
# ΔE_f (raw): -2011 meV per atom

=====

# Mg2InAu, optimized geometry, DFT PBEsol
data_Mg2InAu
_chemical_formula_sum 'Mg4 In2 Au2'
_space_group_name_H-M_alt 'I 4/m m m'
_space_group_IT_number 139
_space_group_name_Hall '-I 4 2'
_cell_length_a 4.3899
_cell_length_b 4.3899
_cell_length_c 8.0456
_cell_angle_alpha 90.00
_cell_angle_beta 90.00
_cell_angle_gamma 90.00
loop_
_atom_site_label
_atom_site_type_symbol
_atom_site_fract_x
_atom_site_fract_y
_atom_site_fract_z
Mg1 Mg 0.0000 0.5000 0.2500
In1 In 0.0000 0.0000 0.0000
Au1 Au 0.0000 0.0000 0.5000
# Energy of formation: -0.32 eV per atom
# Final energy: -2.9066 eV/atom

=====

# La2YSc, optimized geometry, DFT PBEsol
data_La2YSc
_chemical_formula_sum 'La2 Y1 Sc1'
_space_group_name_H-M_alt 'P m m m'
_space_group_IT_number 47
_space_group_name_Hall '-P 2 2'
_cell_length_a 3.6234
_cell_length_b 4.6040
_cell_length_c 7.2813
_cell_angle_alpha 90.00
_cell_angle_beta 90.00
_cell_angle_gamma 90.00
loop_
_atom_site_label
_atom_site_type_symbol
_atom_site_fract_x
_atom_site_fract_y
_atom_site_fract_z
La1 La 0.0000 0.0000 0.2349
Y1 Y 0.5000 0.5000 0.5000
Sc1 Sc 0.5000 0.5000 0.0000
# Energy of formation: 0.04 eV per atom
# Energy relative to the lowest polymorph listed for this composition: 0.014 eV per atom
# Final energy: -5.9883 eV/atom

=====

# ZrHgO3, optimized geometry, DFT PBEsol
data_ZrHgO3
_chemical_formula_sum 'Zr1 Hg1 O3'
_space_group_name_H-M_alt 'P m -3 m'
_space_group_IT_number 221
_space_group_name_Hall '-P 4 2 3'
_cell_length_a 4.1127
_cell_length_b 4.1127
_cell_length_c 4.1127
_cell_angle_alpha 90.00
_cell_angle_beta 90.00
_cell_angle_gamma 90.00
loop_
_atom_site_label
_atom_site_type_symbol
_atom_site_fract_x
_atom_site_fract_y
_atom_site_fract_z
Zr1 Zr 0.0000 0.0000 0.0000
Hg1 Hg 0.5000 0.5000 0.5000
O1 O 0.0000 0.0000 0.5000
# Final energy: -6.9154 eV/atom
# ΔE_f (raw): -1834 meV per atom

=====

# InFe2F2, optimized geometry, DFT PBEsol
data_InFe2F2
_chemical_formula_sum 'In2 Fe4 F4'
_space_group_name_H-M_alt 'I 4/m m m'
_space_group_IT_number 139
_space_group_name_Hall '-I 4 2'
_cell_length_a 3.5259
_cell_length_b 3.5259
_cell_length_c 10.2408
_cell_angle_alpha 90.00
_cell_angle_beta 90.00
_cell_angle_gamma 90.00
loop_
_atom_site_label
_atom_site_type_symbol
_atom_site_fract_x
_atom_site_fract_y
_atom_site_fract_z
In1 In 0.0000 0.0000 0.0000
Fe1 Fe 0.0000 0.0000 0.3806
F1 F 0.0000 0.5000 0.2500
# Final energy: -5.7281 eV/atom
# ΔE_f (raw): -775 meV per atom

=====

# Be2NbCo2, optimized geometry, DFT PBEsol
data_Be2NbCo2
_chemical_formula_sum 'Be4 Nb2 Co4'
_space_group_name_H-M_alt 'P 4/m b m'
_space_group_IT_number 127
_space_group_name_Hall '-P 4 2ab'
_cell_length_a 6.3926
_cell_length_b 6.3926
_cell_length_c 2.5731
_cell_angle_alpha 90.00
_cell_angle_beta 90.00
_cell_angle_gamma 90.00
loop_
_atom_site_label
_atom_site_type_symbol
_atom_site_fract_x
_atom_site_fract_y
_atom_site_fract_z
Be1 Be 0.1164 0.3836 0.0000
Nb1 Nb 0.0000 0.0000 0.0000
Co1 Co 0.1748 0.6748 0.5000
# Energy of formation: -0.20 eV per atom
# Final energy: -7.0562 eV/atom

=====

# MgZnCd, optimized geometry, DFT PBEsol
data_MgZnCd
_chemical_formula_sum 'Mg2 Zn2 Cd2'
_space_group_name_H-M_alt 'I m m 2'
_space_group_IT_number 44
_space_group_name_Hall 'I 2 -2'
_cell_length_a 3.2459
_cell_length_b 3.9715
_cell_length_c 8.6381
_cell_angle_alpha 90.00
_cell_angle_beta 90.00
_cell_angle_gamma 90.00
loop_
_atom_site_label
_atom_site_type_symbol
_atom_site_fract_x
_atom_site_fract_y
_atom_site_fract_z
Mg1 Mg 0.0000 0.0000 0.0000
Zn1 Zn 0.0000 0.0000 0.6631
Cd1 Cd 0.0000 0.0000 0.3285
# Energy of formation: -0.03 eV per atom
# Energy relative to the lowest polymorph listed for this composition: 0.021 eV per atom
# Final energy: -1.5288 eV/atom

=====

# NaSr2F2, optimized geometry, DFT PBEsol
data_NaSr2F2
_chemical_formula_sum 'Na2 Sr4 F4'
_space_group_name_H-M_alt 'I 4/m m m'
_space_group_IT_number 139
_space_group_name_Hall '-I 4 2'
_cell_length_a 4.1166
_cell_length_b 4.1166
_cell_length_c 16.9149
_cell_angle_alpha 90.00
_cell_angle_beta 90.00
_cell_angle_gamma 90.00
loop_
_atom_site_label
_atom_site_type_symbol
_atom_site_fract_x
_atom_site_fract_y
_atom_site_fract_z
Na1 Na 0.0000 0.0000 0.0000
Sr1 Sr 0.0000 0.0000 0.3319
F1 F 0.0000 0.5000 0.2500
# Final energy: -4.0882 eV/atom
# ΔE_f (raw): -2301 meV per atom

=====

# LaTcAg2Pd, optimized geometry, DFT PBEsol
data_LaTcAg2Pd
_chemical_formula_sum 'La1 Tc1 Ag2 Pd1'
_space_group_name_H-M_alt 'P 4/m m m'
_space_group_IT_number 123
_space_group_name_Hall '-P 4 2'
_cell_length_a 4.9633
_cell_length_b 4.9633
_cell_length_c 5.1383
_cell_angle_alpha 90.00
_cell_angle_beta 90.00
_cell_angle_gamma 90.00
loop_
_atom_site_label
_atom_site_type_symbol
_atom_site_fract_x
_atom_site_fract_y
_atom_site_fract_z
La1 La 0.0000 0.0000 0.0000
Tc1 Tc 0.5000 0.5000 0.0000
Ag1 Ag 0.0000 0.5000 0.5000
Pd1 Pd 0.0000 0.0000 0.5000
# Energy of formation: 1.03 eV per atom
# Final energy: -4.8098 eV/atom

=====

# KAgRu2, optimized geometry, DFT PBEsol
data_KAgRu2
_chemical_formula_sum 'K2 Ag2 Ru4'
_space_group_name_H-M_alt 'C m m 2'
_space_group_IT_number 35
_space_group_name_Hall 'C 2 -2'
_cell_length_a 2.8436
_cell_length_b 4.6877
_cell_length_c 10.2152
_cell_angle_alpha 90.00
_cell_angle_beta 90.00
_cell_angle_gamma 90.00
loop_
_atom_site_label
_atom_site_type_symbol
_atom_site_fract_x
_atom_site_fract_y
_atom_site_fract_z
K1 K 0.0000 0.0000 0.0000
Ag1 Ag 0.0000 0.5000 0.2865
Ru1 Ru 0.0000 0.0000 0.5249
Ru2 Ru 0.0000 0.5000 0.7270
# Energy of formation: 0.84 eV per atom
# Energy relative to the lowest polymorph listed for this composition: 0.104 eV per atom
# Final energy: -5.3572 eV/atom

=====

# CuIrBr2, optimized geometry, DFT PBEsol
data_CuIrBr2
_chemical_formula_sum 'Cu2 Ir2 Br4'
_space_group_name_H-M_alt 'C m m m'
_space_group_IT_number 65
_space_group_name_Hall '-C 2 2'
_cell_length_a 3.1609
_cell_length_b 5.9325
_cell_length_c 7.8393
_cell_angle_alpha 90.00
_cell_angle_beta 90.00
_cell_angle_gamma 90.00
loop_
_atom_site_label
_atom_site_type_symbol
_atom_site_fract_x
_atom_site_fract_y
_atom_site_fract_z
Cu1 Cu 0.0000 0.0000 0.0000
Ir1 Ir 0.0000 0.0000 0.5000
Br1 Br 0.0000 0.5000 0.2435
# Final energy: -3.7657 eV/atom
# ΔE_f (raw): 709 meV per atom

=====

# Ca2BeP, optimized geometry, DFT PBEsol
data_Ca2BeP
_chemical_formula_sum 'Ca2 Be1 P1'
_space_group_name_H-M_alt 'P 4 m m'
_space_group_IT_number 99
_space_group_name_Hall 'P 4 -2'
_cell_length_a 3.3093
_cell_length_b 3.3093
_cell_length_c 8.0614
_cell_angle_alpha 90.00
_cell_angle_beta 90.00
_cell_angle_gamma 90.00
loop_
_atom_site_label
_atom_site_type_symbol
_atom_site_fract_x
_atom_site_fract_y
_atom_site_fract_z
Ca1 Ca 0.0000 0.0000 0.0000
Ca2 Ca 0.5000 0.5000 0.4079
Be1 Be 0.5000 0.5000 0.7463
P1 P 0.0000 0.0000 0.6494
# Energy of formation: -0.10 eV per atom
# Energy relative to the lowest polymorph listed for this composition: 0.171 eV per atom
# Final energy: -3.6181 eV/atom

=====

# LiIn2Mo, optimized geometry, DFT PBEsol
data_LiIn2Mo
_chemical_formula_sum 'Li2 In4 Mo2'
_space_group_name_H-M_alt 'I 4/m m m'
_space_group_IT_number 139
_space_group_name_Hall '-I 4 2'
_cell_length_a 4.1511
_cell_length_b 4.1511
_cell_length_c 8.2318
_cell_angle_alpha 90.00
_cell_angle_beta 90.00
_cell_angle_gamma 90.00
loop_
_atom_site_label
_atom_site_type_symbol
_atom_site_fract_x
_atom_site_fract_y
_atom_site_fract_z
Li1 Li 0.0000 0.0000 0.0000
In1 In 0.0000 0.5000 0.2500
Mo1 Mo 0.0000 0.0000 0.5000
# Energy of formation: 0.22 eV per atom
# Final energy: -4.7075 eV/atom

=====

# CdSnAu, optimized geometry, DFT PBEsol
data_CdSnAu
_chemical_formula_sum 'Cd4 Sn4 Au4'
_space_group_name_H-M_alt 'F -4 3 m'
_space_group_IT_number 216
_space_group_name_Hall 'F -4 2 3'
_cell_length_a 6.4999
_cell_length_b 6.4999
_cell_length_c 6.4999
_cell_angle_alpha 90.00
_cell_angle_beta 90.00
_cell_angle_gamma 90.00
loop_
_atom_site_label
_atom_site_type_symbol
_atom_site_fract_x
_atom_site_fract_y
_atom_site_fract_z
Cd1 Cd 0.0000 0.0000 0.0000
Sn1 Sn 0.0000 0.0000 0.5000
Au1 Au 0.2500 0.2500 0.7500
# Energy of formation: -0.20 eV per atom
# Final energy: -3.3271 eV/atom

=====

# GaBMo2P, optimized geometry, DFT PBEsol
data_GaBMo2P
_chemical_formula_sum 'Ga1 B1 Mo2 P1'
_space_group_name_H-M_alt 'P 4/m m m'
_space_group_IT_number 123
_space_group_name_Hall '-P 4 2'
_cell_length_a 4.6425
_cell_length_b 4.6425
_cell_length_c 4.1407
_cell_angle_alpha 90.00
_cell_angle_beta 90.00
_cell_angle_gamma 90.00
loop_
_atom_site_label
_atom_site_type_symbol
_atom_site_fract_x
_atom_site_fract_y
_atom_site_fract_z
Ga1 Ga 0.0000 0.0000 0.0000
B1 B 0.5000 0.5000 0.5000
Mo1 Mo 0.0000 0.5000 0.0000
P1 P 0.0000 0.0000 0.5000
# Energy of formation: 2.33 eV per atom
# Final energy: -5.6106 eV/atom

=====

# CoRu2Br, optimized geometry, DFT PBEsol
data_CoRu2Br
_chemical_formula_sum 'Co1 Ru2 Br1'
_space_group_name_H-M_alt 'P m m 2'
_space_group_IT_number 25
_space_group_name_Hall 'P 2 -2'
_cell_length_a 2.8435
_cell_length_b 3.4697
_cell_length_c 5.7197
_cell_angle_alpha 90.00
_cell_angle_beta 90.00
_cell_angle_gamma 90.00
loop_
_atom_site_label
_atom_site_type_symbol
_atom_site_fract_x
_atom_site_fract_y
_atom_site_fract_z
Co1 Co 0.0000 0.0000 0.0000
Ru1 Ru 0.0000 0.0000 0.4382
Ru2 Ru 0.5000 0.5000 0.2169
Br1 Br 0.5000 0.5000 0.7683
# Energy relative to the lowest polymorph listed for this composition: 0.000 eV per atom
# Final energy: -6.7925 eV/atom
# ΔE_f (raw): 695 meV per atom

=====

# DyCo3P2, optimized geometry, DFT PBEsol
data_DyCo3P2
_chemical_formula_sum 'Dy6 Co18 P12'
_space_group_name_H-M_alt 'P m m n'
_space_group_IT_number 59
_cell_length_a 3.6385
_cell_length_b 10.3758
_cell_length_c 12.0217
_cell_angle_alpha 90.00
_cell_angle_beta 90.00
_cell_angle_gamma 90.00
loop_
_space_group_symop_operation_xyz
'x,y,z'
'-x,-y,-z'
'-x+1/2,-y+1/2,z'
'x+1/2,y+1/2,-z'
'x+1/2,-y,-z'
'-x+1/2,y,z'
'-x,y+1/2,-z'
'x,-y+1/2,z'
loop_
_atom_site_label
_atom_site_type_symbol
_atom_site_fract_x
_atom_site_fract_y
_atom_site_fract_z
Dy1 Dy 0.2500 0.0673 0.2058
Dy2 Dy 0.2500 0.2500 0.4776
Co1 Co 0.2500 0.1297 0.7096
Co2 Co 0.2500 0.2500 0.0141
Co3 Co 0.2500 0.5477 0.4305
Co4 Co 0.2500 0.5833 0.9950
Co5 Co 0.2500 0.7500 0.1588
Co6 Co 0.2500 0.7500 0.7033
P1 P 0.2500 0.0978 0.8930
P2 P 0.2500 0.5604 0.6159
P3 P 0.2500 0.7500 0.3439
P4 P 0.2500 0.7500 0.8828
# Energy of formation: -1.03 eV per atom
# Final energy: -7.6619 eV/atom

=====

# NdBiPd, optimized geometry, DFT PBEsol
data_NdBiPd
_chemical_formula_sum 'Nd4 Bi4 Pd4'
_space_group_name_H-M_alt 'F -4 3 m'
_space_group_IT_number 216
_space_group_name_Hall 'F -4 2 3'
_cell_length_a 6.7502
_cell_length_b 6.7502
_cell_length_c 6.7502
_cell_angle_alpha 90.00
_cell_angle_beta 90.00
_cell_angle_gamma 90.00
loop_
_atom_site_label
_atom_site_type_symbol
_atom_site_fract_x
_atom_site_fract_y
_atom_site_fract_z
Nd1 Nd 0.0000 0.0000 0.0000
Bi1 Bi 0.0000 0.0000 0.5000
Pd1 Pd 0.2500 0.2500 0.7500
# Energy of formation: -0.96 eV per atom
# Final energy: -6.0982 eV/atom